Entry 1:
Below is a relaxed structure of Ti2Si2Ru, with properties calculated at the GGA-PBEsol level.

Lattice parameters (Å, degrees): 6.1439 6.1439 3.7747 90.00 90.00 90.00
Space group P4/mbm (No. 127)
Inequivalent atoms, fractional coordinates:
Ti 0.1679 0.3321 0.0000 (multiplicity 4)
Si 0.1367 0.6367 0.5000 (multiplicity 4)
Ru 0.0000 0.0000 0.5000 (multiplicity 2)

Calculated values
- Mass density: 5.9 Mg/m³
- Total moment: 0.00 μB per atom
- Uncorrected formation energy: -0.833 eV per atom



Entry 2:
Below is a relaxed structure of TiSiRu, with properties calculated at the GGA-PBEsol level.

Lattice parameters (Å, degrees): 6.0137 3.9254 7.1802 90.00 90.00 90.00
Space group Pnma (No. 62)
Inequivalent atoms, fractional coordinates:
Ti 0.0182 0.2500 0.1864 (multiplicity 4)
Si 0.2250 0.7500 0.3750 (multiplicity 4)
Ru 0.1649 0.2500 0.5544 (multiplicity 4)

Calculated values
- Mass density: 6.9 Mg/m³
- Total moment: 0.00 μB per atom
- Uncorrected formation energy: -0.838 eV per atom



Entry 3:
Below is a relaxed structure of TiSiRu3, with properties calculated at the GGA-PBEsol level.

Lattice parameters (Å, degrees): 4.4007 4.4007 4.4007 90.00 90.00 90.00
Space group Pm-3m (No. 221)
Inequivalent atoms, fractional coordinates:
Ti 0.0000 0.0000 0.0000 (multiplicity 1)
Si 0.5000 0.5000 0.5000 (multiplicity 1)
Ru 0.0000 0.0000 0.5000 (multiplicity 3)

Calculated values
- Mass density: 7.4 Mg/m³
- Total moment: 0.00 μB per atom
- Uncorrected formation energy: 1.372 eV per atom



Entry 4:
Below is a relaxed structure of TmSiRu, with properties calculated at the GGA-PBEsol level.

Lattice parameters (Å, degrees): 6.8328 4.2503 6.9874 90.00 90.00 90.00
Space group Pnma (No. 62)
Inequivalent atoms, fractional coordinates:
Tm 0.0131 0.2500 0.1871 (multiplicity 4)
Si 0.1980 0.2500 0.6077 (multiplicity 4)
Ru 0.1548 0.7500 0.4349 (multiplicity 4)

Calculated values
- Mass density: 9.8 Mg/m³
- Total moment: 0.00 μB per atom
- Uncorrected formation energy: -0.886 eV per atom



Entry 5:
Below is a relaxed structure of USiRu, with properties calculated at the GGA-PBEsol level.

Lattice parameters (Å, degrees): 7.3656 3.7618 6.9893 90.00 90.00 90.00
Space group Pnma (No. 62)
Inequivalent atoms, fractional coordinates:
U 0.0031 0.2500 0.1419 (multiplicity 4)
Si 0.2010 0.2500 0.6201 (multiplicity 4)
Ru 0.1286 0.7500 0.4199 (multiplicity 4)

Calculated values
- Mass density: 12.6 Mg/m³
- Total moment: 0.00 μB per atom
- Uncorrected formation energy: -0.539 eV per atom



Entry 6:
Below is a relaxed structure of Si2RuW, with properties calculated at the GGA-PBEsol level.

Lattice parameters (Å, degrees): 3.0916 3.0916 5.6119 90.00 90.00 90.00
Space group P4mm (No. 99)
Inequivalent atoms, fractional coordinates:
Si 0.0000 0.0000 0.0000 (multiplicity 1)
Si 0.5000 0.5000 0.2503 (multiplicity 1)
Ru 0.5000 0.5000 0.7963 (multiplicity 1)
W 0.0000 0.0000 0.4643 (multiplicity 1)

Calculated values
- Mass density: 10.6 Mg/m³
- Total moment: 0.00 μB per atom
- Uncorrected formation energy: -0.335 eV per atom